# 1
# Rb3Ce3AlS8

An optimized crystal structure of Rb3Ce3AlS8 (GGA-PBE, Alexandria via LeMat-Bulk).

Properties
Raw formation energy   -1.59 eV per atom

POSCAR file:
```
Rb3Ce3AlS8
1.0
4.065 2.347 7.810
-4.065 2.347 7.810
0.000 -4.694 7.810
Rb Ce Al S
3 3 1 8
Cartesian
-2.033 -1.173 7.810 Rb
-2.032 1.173 15.621 Rb
0.000 2.347 7.810 Rb
-4.065 0.000 11.716 Ce
-2.032 1.173 3.905 Ce
2.033 1.173 3.905 Ce
0.000 0.000 11.716 Al
0.000 0.000 5.440 S
-1.840 -1.063 13.097 S
0.000 -2.125 10.334 S
-1.840 1.063 10.334 S
1.840 -1.063 13.097 S
0.000 2.125 13.097 S
1.840 1.063 10.334 S
0.000 0.000 17.991 S
```

=====

# 2
# Rb2CeAlS4

An optimized crystal structure of Rb2CeAlS4 (GGA-PBE, Alexandria via LeMat-Bulk).

Properties
Raw formation energy   -1.37 eV per atom

POSCAR file:
```
Rb2CeAlS4
1.0
7.360 0.000 0.000
0.000 7.360 0.000
0.000 0.000 9.840
Rb Ce Al S
4 2 2 8
Cartesian
0.000 0.000 0.000 Rb
0.000 3.680 2.460 Rb
3.680 0.000 7.380 Rb
3.680 3.680 4.920 Rb
0.000 0.000 4.920 Ce
3.680 3.680 0.000 Ce
0.000 3.680 7.380 Al
3.680 0.000 2.460 Al
1.135 5.273 6.212 S
1.593 2.545 8.547 S
2.087 1.135 3.627 S
2.545 5.766 1.292 S
4.815 1.593 1.292 S
5.273 6.225 3.627 S
5.766 4.815 8.547 S
6.225 2.087 6.212 S
```

=====

# 3
# Rb2Ce2AlSe6

An optimized crystal structure of Rb2Ce2AlSe6 (GGA-PBE, Alexandria via LeMat-Bulk).

Properties
Raw formation energy   -1.40 eV per atom

POSCAR file:
```
Rb2Ce2AlSe6
1.0
3.612 -6.193 0.000
3.612 6.193 0.000
-2.500 0.000 8.155
Rb Ce Al Se
2 2 1 6
Cartesian
3.612 4.067 0.000 Rb
3.612 -4.067 0.000 Rb
2.362 2.074 4.078 Ce
2.362 -2.074 4.078 Ce
-1.250 0.000 4.078 Al
-0.130 1.904 5.603 Se
0.895 0.000 2.599 Se
-0.130 -1.904 5.603 Se
4.854 1.904 2.552 Se
3.828 0.000 5.556 Se
4.854 -1.904 2.552 Se
```

=====

# 4
# Rb2CeAlSe4

An optimized crystal structure of Rb2CeAlSe4 (GGA-PBE, Alexandria via LeMat-Bulk).

Properties
Raw formation energy   -1.19 eV per atom

POSCAR file:
```
Rb2CeAlSe4
1.0
-4.268 4.491 6.228
4.268 -4.491 6.228
4.268 4.491 -6.228
Rb Ce Al Se
4 2 2 8
Cartesian
0.000 0.000 0.000 Rb
-2.134 2.245 3.114 Rb
0.000 4.491 0.000 Rb
2.134 2.245 3.114 Rb
4.268 0.000 0.000 Ce
0.000 0.000 6.228 Ce
2.134 2.245 -3.114 Al
2.134 -2.245 3.114 Al
4.268 -0.509 2.975 Se
4.268 3.982 -2.975 Se
2.368 2.245 -0.350 Se
6.169 2.245 -0.350 Se
-1.900 2.245 6.578 Se
1.900 2.245 6.578 Se
0.000 0.509 9.203 Se
0.000 5.000 3.254 Se
```

=====

# 5
# Rb3Ce3AlTe8

An optimized crystal structure of Rb3Ce3AlTe8 (GGA-PBE, Alexandria via LeMat-Bulk).

Properties
Raw formation energy   -1.11 eV per atom

POSCAR file:
```
Rb3Ce3AlTe8
1.0
4.524 2.612 8.720
-4.524 2.612 8.720
0.000 -5.224 8.720
Rb Ce Al Te
3 3 1 8
Cartesian
-2.262 -1.306 8.720 Rb
-2.262 1.306 17.440 Rb
0.000 2.612 8.720 Rb
-4.524 0.000 13.080 Ce
-2.262 1.306 4.360 Ce
2.262 1.306 4.360 Ce
0.000 0.000 13.080 Al
0.000 0.000 6.144 Te
-2.085 -1.204 14.704 Te
0.000 -2.407 11.456 Te
-2.085 1.204 11.456 Te
2.085 -1.204 14.704 Te
0.000 2.407 14.704 Te
2.085 1.204 11.456 Te
0.000 0.000 20.016 Te
```

=====

# 6
# Ce2Al8Re

An optimized crystal structure of Ce2Al8Re (GGA-PBE, Alexandria via LeMat-Bulk).

Properties
ΔE_f   -310 meV/atom

POSCAR file:
```
Ce2Al8Re
1.0
4.377 0.000 0.000
0.000 4.377 0.000
0.000 0.000 11.338
Ce Al Re
2 8 1
Cartesian
0.000 0.000 2.187 Ce
0.000 0.000 9.151 Ce
0.000 2.189 0.000 Al
0.000 2.189 4.323 Al
0.000 2.189 7.015 Al
2.189 0.000 0.000 Al
2.189 0.000 4.323 Al
2.189 0.000 7.015 Al
2.189 2.189 2.139 Al
2.189 2.189 9.200 Al
0.000 0.000 5.669 Re
```

=====

# 7
# Ce2AlRe3

An optimized crystal structure of Ce2AlRe3 (GGA-PBE, Alexandria via LeMat-Bulk).

Properties
ΔE_f   -206 meV/atom

POSCAR file:
```
Ce2AlRe3
1.0
9.342 0.000 0.000
0.000 5.385 0.000
-3.121 0.000 4.552
Ce Al Re
4 2 6
Cartesian
-0.003 0.000 1.668 Ce
1.553 2.693 2.884 Ce
4.668 2.693 1.668 Ce
6.224 0.000 2.884 Ce
-1.560 2.693 2.276 Al
3.111 0.000 2.276 Al
0.000 2.693 0.000 Re
2.335 1.346 0.000 Re
2.335 4.039 0.000 Re
4.671 0.000 0.000 Re
7.006 1.346 0.000 Re
7.006 4.039 0.000 Re
```

=====

# 8
# CeAl4Re

An optimized crystal structure of CeAl4Re (GGA-PBE, Alexandria via LeMat-Bulk).

Properties
ΔE_f   -354 meV/atom

POSCAR file:
```
CeAl4Re
1.0
7.748 0.000 0.000
0.000 4.257 0.000
0.000 0.000 6.905
Ce Al Re
2 8 2
Cartesian
1.937 0.000 0.882 Ce
5.811 0.000 6.023 Ce
0.000 0.000 3.453 Al
0.505 2.128 5.586 Al
1.937 2.128 3.206 Al
3.369 2.128 5.586 Al
3.874 0.000 3.453 Al
4.379 2.128 1.319 Al
5.811 2.128 3.700 Al
7.242 2.128 1.319 Al
1.937 0.000 4.942 Re
5.811 0.000 1.963 Re
```

=====

# 9
# CeAl4Re

An optimized crystal structure of CeAl4Re (GGA-PBE, Alexandria via LeMat-Bulk).

Properties
ΔE_f   -175 meV/atom

POSCAR file:
```
CeAl4Re
1.0
5.307 0.000 0.000
-1.387 6.609 0.000
-1.379 -3.631 6.195
Ce Al Re
2 8 2
Cartesian
0.364 -0.972 2.700 Ce
2.177 3.951 3.495 Ce
-2.108 1.928 5.862 Al
-0.601 2.625 2.391 Al
0.833 -2.582 5.178 Al
0.587 1.441 4.588 Al
1.954 1.538 1.606 Al
1.707 5.561 1.017 Al
3.142 0.353 3.804 Al
4.648 1.051 0.333 Al
0.663 3.320 0.001 Re
1.878 -0.341 6.194 Re
```

=====

# 10
# CeAl11Re

An optimized crystal structure of CeAl11Re (GGA-PBE, Alexandria via LeMat-Bulk).

Properties
ΔE_f   -222 meV/atom

POSCAR file:
```
CeAl11Re
1.0
2.651 -6.387 0.000
2.651 6.387 0.000
-2.651 0.000 6.590
Ce Al Re
1 11 1
Cartesian
0.000 0.000 0.000 Ce
-1.326 0.000 3.295 Al
1.326 3.194 0.000 Al
0.073 2.212 2.368 Al
0.020 1.371 5.138 Al
0.073 -2.212 2.368 Al
2.631 1.371 1.452 Al
1.326 -3.194 0.000 Al
0.020 -1.371 5.138 Al
2.579 2.212 4.222 Al
2.631 -1.371 1.452 Al
2.579 -2.212 4.222 Al
1.326 0.000 3.295 Re
```

=====

# 11
# CeScAlRe

An optimized crystal structure of CeScAlRe (GGA-PBE, Alexandria via LeMat-Bulk).

Properties
ΔE_f   -106 meV/atom

POSCAR file:
```
CeScAlRe
1.0
6.866 0.000 0.000
0.000 6.866 0.000
0.000 0.000 6.866
Ce Sc Al Re
4 4 4 4
Cartesian
0.000 0.000 0.000 Ce
0.000 3.433 3.433 Ce
3.433 0.000 3.433 Ce
3.433 3.433 0.000 Ce
0.000 0.000 3.433 Sc
0.000 3.433 0.000 Sc
3.433 0.000 0.000 Sc
3.433 3.433 3.433 Sc
1.717 1.717 5.150 Al
1.717 5.150 1.717 Al
5.150 1.717 1.717 Al
5.150 5.150 5.150 Al
1.717 1.717 1.717 Re
1.717 5.150 5.150 Re
5.150 1.717 5.150 Re
5.150 5.150 1.717 Re
```

=====

# 12
# CeAl2Re2Si

An optimized crystal structure of CeAl2Re2Si (GGA-PBE, Alexandria via LeMat-Bulk).

Properties
Raw formation energy   -0.12 eV per atom

POSCAR file:
```
CeAl2Re2Si
1.0
4.534 0.000 0.000
0.000 4.534 0.000
0.000 0.000 5.636
Ce Al Re Si
1 2 2 1
Cartesian
0.000 0.000 0.000 Ce
2.267 2.267 1.362 Al
2.267 2.267 4.275 Al
0.000 2.267 2.818 Re
2.267 0.000 2.818 Re
0.000 0.000 2.818 Si
```